## 1
Below is crystalline Gd2ZnPb at its relaxed geometry, with properties calculated at the GGA-PBE level.

```
data_Gd2ZnPb
_space_group_name_H-M_alt 'R -3 m'
_space_group_IT_number 166
_space_group_name_Hall '-R 3 2"'
_cell_length_a 3.5626
_cell_length_b 3.5626
_cell_length_c 32.6448
_cell_angle_alpha 90.00
_cell_angle_beta 90.00
_cell_angle_gamma 120.00
loop_
_atom_site_label
_atom_site_type_symbol
_atom_site_fract_x
_atom_site_fract_y
_atom_site_fract_z
Gd1 Gd 0.0000 0.0000 0.0985
Zn1 Zn 0.0000 0.0000 0.5000
Pb1 Pb 0.0000 0.0000 0.0000
```

---

## 2
Below is crystalline Gd2ZnPb at its relaxed geometry, with properties calculated at the GGA-PBE level.

```
data_Gd2ZnPb
_space_group_name_H-M_alt 'P 4/m m m'
_space_group_IT_number 123
_space_group_name_Hall '-P 4 2'
_cell_length_a 5.0035
_cell_length_b 5.0035
_cell_length_c 4.2078
_cell_angle_alpha 90.00
_cell_angle_beta 90.00
_cell_angle_gamma 90.00
loop_
_atom_site_label
_atom_site_type_symbol
_atom_site_fract_x
_atom_site_fract_y
_atom_site_fract_z
Gd1 Gd 0.0000 0.5000 0.0000
Zn1 Zn 0.0000 0.0000 0.5000
Pb1 Pb 0.5000 0.5000 0.5000
```

---

Most stable of them? 2.